# 1
# PBE KFeHgI2, optimized geometry
data_KFeHgI2
_cell_length_a 6.5429
_cell_length_b 6.5429
_cell_length_c 6.8665
_cell_angle_alpha 90.00
_cell_angle_beta 90.00
_cell_angle_gamma 90.00
_symmetry_space_group_name_H-M 'P 4/m m m'
_symmetry_Int_Tables_number 123
_symmetry_space_group_name_Hall '-P 4 2'
loop_
_atom_site_label
_atom_site_fract_x
_atom_site_fract_y
_atom_site_fract_z
K1 0.0000 0.0000 0.0000
Fe1 0.0000 0.0000 0.5000
Hg1 0.5000 0.5000 0.5000
I1 0.0000 0.5000 0.0000
# - total moment (μB per formula unit) = 5.0
# - ΔE_f (raw) (eV per atom) = 0.56
# - calculated density (Mg/m³) = 3.10



# 2
# PBE KFe2HgI8, optimized geometry
data_KFe2HgI8
_cell_length_a 7.4637
_cell_length_b 7.4637
_cell_length_c 10.6499
_cell_angle_alpha 90.00
_cell_angle_beta 90.00
_cell_angle_gamma 120.00
_symmetry_space_group_name_H-M 'P -3'
_symmetry_Int_Tables_number 147
loop_
_symmetry_equiv_pos_as_xyz
'x,y,z'
'-x,-y,-z'
'-y,x-y,z'
'y,-x+y,-z'
'-x+y,-x,z'
'x-y,x,-z'
loop_
_atom_site_label
_atom_site_fract_x
_atom_site_fract_y
_atom_site_fract_z
K1 0.0000 0.0000 0.0000
Fe1 0.3333 0.6667 0.7564
Hg1 0.0000 0.0000 0.5000
I1 0.0086 0.3362 0.6821
I2 0.3333 0.6667 0.9953
# - total moment (μB per formula unit) = 9.0
# - ΔE_f (raw) (eV per atom) = -0.38
# - calculated density (Mg/m³) = 4.42



# 3
# PBE Mg2FeHgI, optimized geometry
data_Mg2FeHgI
_cell_length_a 5.5688
_cell_length_b 5.5688
_cell_length_c 4.5323
_cell_angle_alpha 90.00
_cell_angle_beta 90.00
_cell_angle_gamma 90.00
_symmetry_space_group_name_H-M 'P 4/m m m'
_symmetry_Int_Tables_number 123
_symmetry_space_group_name_Hall '-P 4 2'
loop_
_atom_site_label
_atom_site_fract_x
_atom_site_fract_y
_atom_site_fract_z
Mg1 0.0000 0.5000 0.0000
Fe1 0.0000 0.0000 0.5000
Hg1 0.5000 0.5000 0.5000
I1 0.0000 0.0000 0.0000
# - total moment (μB per formula unit) = 0.0
# - ΔE_f (raw) (eV per atom) = 0.93
# - calculated density (Mg/m³) = 5.10



# 4
# PBE FeHg2MoI, optimized geometry
data_FeHg2MoI
_cell_length_a 5.1694
_cell_length_b 5.1694
_cell_length_c 5.1332
_cell_angle_alpha 90.00
_cell_angle_beta 90.00
_cell_angle_gamma 90.00
_symmetry_space_group_name_H-M 'P 4/m m m'
_symmetry_Int_Tables_number 123
_symmetry_space_group_name_Hall '-P 4 2'
loop_
_atom_site_label
_atom_site_fract_x
_atom_site_fract_y
_atom_site_fract_z
Fe1 0.0000 0.0000 0.0000
Hg1 0.0000 0.5000 0.0000
Mo1 0.5000 0.5000 0.5000
I1 0.0000 0.0000 0.5000
# - total moment (μB per formula unit) = 7.4
# - ΔE_f (raw) (eV per atom) = 1.18
# - calculated density (Mg/m³) = 8.23



# 5
# PBE FeHgIN2, optimized geometry
data_FeHgIN2
_cell_length_a 3.8556
_cell_length_b 3.8556
_cell_length_c 6.2585
_cell_angle_alpha 90.00
_cell_angle_beta 90.00
_cell_angle_gamma 90.00
_symmetry_space_group_name_H-M 'P 4/m m m'
_symmetry_Int_Tables_number 123
_symmetry_space_group_name_Hall '-P 4 2'
loop_
_atom_site_label
_atom_site_fract_x
_atom_site_fract_y
_atom_site_fract_z
Fe1 0.0000 0.0000 0.0000
Hg1 0.5000 0.5000 0.5000
I1 0.0000 0.0000 0.5000
N1 0.0000 0.5000 0.0000
# - total moment (μB per formula unit) = 1.2
# - ΔE_f (raw) (eV per atom) = 1.17
# - calculated density (Mg/m³) = 7.34